VASP calculation (PBE) on a geometry-optimized MoOsW2 structure.

Geometry as extended XYZ:
```
4
Lattice="-0.388 0.162 -2.732 -0.984 -3.899 -0.091 -5.442 1.354 0.853" Properties=species:S:1:pos:R:3 pbc="T T T"
Mo -2.757 0.686 0.432
Os -4.769 -0.853 -0.771
W -5.394 1.342 0.846
W -2.056 -1.528 -1.197
```

Output
- energy relative to the elements (eV/atom) = 0.238
- calculated density (kg/m3) = 17218
- space-group type = Pmm2



VASP calculation (PBE) on a geometry-optimized K2Ba4H structure.

Geometry as extended XYZ:
```
7
Lattice="6.010 0.000 0.000 0.000 6.010 0.000 -3.005 -3.005 11.152" Properties=species:S:1:pos:R:3 pbc="T T T"
H 0.000 0.000 0.000
K 3.005 3.005 3.576
K 0.000 0.000 7.575
Ba 3.005 3.005 8.065
Ba 0.000 0.000 3.087
Ba 0.000 3.005 0.000
Ba 3.005 0.000 0.000
```

Output
- calculated density (kg/m3) = 2591
- total energy (eV per atom) = -1.820
- space-group type = I4/mmm



VASP calculation (PBE) on a geometry-optimized Rb3Mg2GeCl9 structure.

Geometry as extended XYZ:
```
15
Lattice="-6.199 0.929 3.692 -0.180 -2.399 -6.866 0.483 -8.418 2.929" Properties=species:S:1:pos:R:3 pbc="T T T"
Rb -1.865 -6.893 -1.397
Rb 0.000 0.000 0.000
Rb -4.032 -2.994 1.152
Mg -2.110 -2.628 -2.881
Mg -3.787 -7.259 2.636
Ge 0.241 -4.209 1.464
Cl -4.844 -5.314 3.858
Cl -4.931 -6.480 0.519
Cl -1.829 -5.766 2.063
Cl -4.068 -4.122 -2.308
Cl -0.966 -3.407 -0.764
Cl -1.053 -4.574 -4.103
Cl -3.100 0.465 1.846
Cl -0.090 -1.200 -3.433
Cl -3.190 -0.735 -1.587
```

Output
- formation energy from raw total energies (eV/atom) = -1.693
- calculated density (kg/m3) = 2828
- space-group type = P-3m1



VASP calculation (PBE) on a geometry-optimized Pm3Er2Sn4 structure.

Geometry as extended XYZ:
```
9
Lattice="4.821 0.000 0.000 -2.411 5.725 -0.092 0.000 -0.766 9.912" Properties=species:S:1:pos:R:3 pbc="T T T"
Pm 0.000 3.810 5.775
Pm 0.000 0.000 0.000
Pm 2.411 1.149 4.045
Er 0.000 3.503 1.945
Er 2.411 1.456 7.875
Sn 2.411 1.759 1.006
Sn 0.000 0.463 6.236
Sn 2.411 4.496 3.584
Sn 0.000 3.201 8.814
```

Output
- energy relative to the elements (eV/atom) = -0.594
- calculated density (kg/m3) = 7562
- space-group type = C2/m